HgSb2Te | meta-GGA SCAN | single point on PBEsol structure

Cell lengths 3.2530, 3.2530, 34.4862 Å; angles 90.00, 90.00, 120.00 degrees
Space group R3m (No. 160, hexagonal axes)
Inequivalent atoms, fractional coordinates:
Hg (0.0000, 0.0000, 0.0000) x3
Sb (0.0000, 0.0000, 0.4942) x3
Sb (0.0000, 0.0000, 0.7482) x3
Te (0.0000, 0.0000, 0.2494) x3

## Properties
* excess energy over the best structure of this formula in the dataset: 284.6 meV/atom
* raw formation energy: 1.1 eV per formula unit

MgZnNO2 | meta-GGA SCAN | single point on PBEsol structure

Cell lengths 3.884, 3.884, 3.697 Å; angles 90.00, 90.00, 90.00 degrees
Space group P4/mmm (No. 123)
Inequivalent atoms, fractional coordinates:
Mg (0.000, 0.000, 0.000) x1
Zn (0.500, 0.500, 0.500) x1
N (0.500, 0.500, 0.000) x1
O (0.000, 0.500, 0.500) x2

## Properties
* raw formation energy: -1.1 eV per formula unit

ZrRhSe2 | meta-GGA SCAN | single point on PBEsol structure

Cell lengths 4.436, 4.436, 3.354 Å; angles 90.00, 90.00, 90.00 degrees
Space group P4/mmm (No. 123)
Inequivalent atoms, fractional coordinates:
Zr (0.000, 0.000, 0.000) x1
Rh (0.500, 0.500, 0.000) x1
Se (0.000, 0.500, 0.500) x2

## Properties
* excess energy over the best structure of this formula in the dataset: 0.0 meV/atom
* raw formation energy: -2.9 eV per formula unit

MgInNi6 | meta-GGA SCAN | single point on PBEsol structure

Cell lengths 7.258, 10.276, 10.277 Å; angles 90.00, 90.00, 90.00 degrees
Space group Cmmm (No. 65)
Inequivalent atoms, fractional coordinates:
Mg (0.000, 0.000, 0.248) x4
Mg (0.000, 0.251, 0.000) x4
In (0.000, 0.250, 0.500) x4
In (0.000, 0.500, 0.248) x4
Ni (0.000, 0.000, 0.000) x2
Ni (0.000, 0.000, 0.500) x2
Ni (0.000, 0.248, 0.246) x8
Ni (0.000, 0.500, 0.000) x2
Ni (0.000, 0.500, 0.500) x2
Ni (0.247, 0.126, 0.123) x16
Ni (0.248, 0.124, 0.372) x16

## Properties
* energy of formation from the pure elements: -0.027 eV per atom

Ta2CuTe | meta-GGA SCAN | single point on PBEsol structure

Cell lengths 3.577, 4.863, 8.420 Å; angles 90.00, 90.00, 90.00 degrees
Space group Cmm2 (No. 35)
Inequivalent atoms, fractional coordinates:
Ta (0.000, 0.000, 0.000) x2
Ta (0.000, 0.500, 0.247) x2
Cu (0.000, 0.000, 0.469) x2
Te (0.000, 0.500, 0.736) x2

## Properties
* raw formation energy: 1.2 eV per formula unit

Sc2GePd2 | meta-GGA SCAN | single point on PBEsol structure

Cell lengths 5.078, 5.078, 7.482 Å; angles 90.00, 90.00, 90.00 degrees
Space group I4/mmm (No. 139)
Inequivalent atoms, fractional coordinates:
Sc (0.000, 0.500, 0.250) x4
Ge (0.000, 0.000, 0.000) x2
Pd (0.000, 0.000, 0.338) x4

## Properties
* energy of formation from the pure elements: -0.598 eV per atom

IrPbCl2 | meta-GGA SCAN | single point on PBEsol structure

Cell lengths 3.135, 4.048, 13.864 Å; angles 90.00, 90.00, 90.00 degrees
Space group Imm2 (No. 44)
Inequivalent atoms, fractional coordinates:
Ir (0.000, 0.000, 0.000) x2
Pb (0.000, 0.500, 0.671) x2
Cl (0.000, 0.000, 0.484) x2
Cl (0.000, 0.500, 0.275) x2

## Properties
* excess energy over the best structure of this formula in the dataset: 0.0 meV/atom
* raw formation energy: 0.7 eV per formula unit

Ag3SeN | meta-GGA SCAN | single point on PBEsol structure

Cell lengths 4.325, 4.325, 4.325 Å; angles 90.00, 90.00, 90.00 degrees
Space group Pm-3m (No. 221)
Inequivalent atoms, fractional coordinates:
Ag (0.000, 0.000, 0.500) x3
Se (0.500, 0.500, 0.500) x1
N (0.000, 0.000, 0.000) x1

## Properties
* raw formation energy: 2.9 eV per formula unit

LiNi4Pb | meta-GGA SCAN | single point on PBEsol structure

Cell lengths 6.776, 6.776, 6.776 Å; angles 90.00, 90.00, 90.00 degrees
Space group F-43m (No. 216)
Inequivalent atoms, fractional coordinates:
Li (0.000, 0.000, 0.000) x4
Ni (0.125, 0.125, 0.375) x16
Pb (0.250, 0.250, 0.750) x4

## Properties
* energy of formation from the pure elements: 0.062 eV per atom

HgPtN2F | meta-GGA SCAN | single point on PBEsol structure

Cell lengths 3.687, 3.687, 5.955 Å; angles 90.00, 90.00, 90.00 degrees
Space group P4/mmm (No. 123)
Inequivalent atoms, fractional coordinates:
Hg (0.000, 0.000, 0.000) x1
Pt (0.500, 0.500, 0.500) x1
N (0.000, 0.500, 0.500) x2
F (0.500, 0.500, 0.000) x1

## Properties
* raw formation energy: 3.6 eV per formula unit

MgBe3Ni | meta-GGA SCAN | single point on PBEsol structure

Cell lengths 3.988, 3.988, 3.988 Å; angles 90.00, 90.00, 90.00 degrees
Space group Pm-3m (No. 221)
Inequivalent atoms, fractional coordinates:
Mg (0.000, 0.000, 0.000) x1
Be (0.000, 0.500, 0.500) x3
Ni (0.500, 0.500, 0.500) x1

## Properties
* energy of formation from the pure elements: 0.223 eV per atom

B2Ir2Pd | meta-GGA SCAN | single point on PBEsol structure

Cell lengths 6.366, 6.366, 2.698 Å; angles 90.00, 90.00, 90.00 degrees
Space group P4/mbm (No. 127)
Inequivalent atoms, fractional coordinates:
B (0.147, 0.353, 0.000) x4
Ir (0.150, 0.650, 0.500) x4
Pd (0.000, 0.000, 0.000) x2

## Properties
* energy of formation from the pure elements: 0.014 eV per atom

| no. | E (eV per atom) | calculated volume (Å³ per cell) | magnetization (μB/cell) |
| --- | --- | --- | --- |
| 1 | -44.702 | 316 | 0.00 |
| 2 | -8.261 | 56 | 2.24 |
| 3 | -26.889 | 66 | 0.00 |
| 4 | -16.952 | 766 | 19.22 |
| 5 | -46.101 | 146 | 0.00 |
| 6 | -23.220 | 193 | 0.00 |
| 7 | -40.546 | 176 | 0.00 |
| 8 | -24.119 | 81 | 0.00 |
| 9 | -23.748 | 311 | 0.00 |
| 10 | -31.384 | 81 | 0.00 |
| 11 | -6.619 | 63 | 0.00 |
| 12 | -37.953 | 109 | 0.00 |